# Nd6MgPd

Nd6MgPd after structural relaxation (PBE, the Alexandria database).

a b c (Å): 6.919 6.923 7.946
angles (deg): 90.09 115.75 119.89
Positions (direct):
Nd 0.038 0.071 0.231
Nd 0.264 0.694 0.231
Nd 0.338 0.532 0.769
Nd 0.662 0.468 0.231
Nd 0.736 0.306 0.769
Nd 0.962 0.929 0.769
Mg 0.500 0.000 0.000
Pd 0.500 0.500 0.500

Values from the calculation:
As for the density of states at the Fermi level: 1.216 states/eV/atom.


# NdMg2Pd

NdMg2Pd after structural relaxation (PBE, the Alexandria database).

a b c (Å): 3.332 3.332 8.025
angles (deg): 90.00 90.00 90.00
Positions (direct):
Nd 0.000 0.000 0.000
Mg 0.500 0.500 0.315
Mg 0.500 0.500 0.685
Pd 0.000 0.000 0.500

Values from the calculation:
As for the density of states at the Fermi level: 0.684 states/eV/atom.


# Nd2MgPd5

Nd2MgPd5 after structural relaxation (PBE, the Alexandria database).

a b c (Å): 6.394 6.394 7.748
angles (deg): 90.00 90.00 90.00
Positions (direct):
Nd 0.000 0.500 0.000
Nd 0.000 0.500 0.500
Nd 0.500 0.000 0.000
Nd 0.500 0.000 0.500
Mg 0.000 0.000 0.137
Mg 0.500 0.500 0.637
Pd 0.000 0.000 0.490
Pd 0.221 0.221 0.759
Pd 0.221 0.779 0.759
Pd 0.279 0.279 0.259
Pd 0.279 0.721 0.259
Pd 0.500 0.500 0.990
Pd 0.721 0.279 0.259
Pd 0.721 0.721 0.259
Pd 0.779 0.221 0.759
Pd 0.779 0.779 0.759

Values from the calculation:
As for the density of states at the Fermi level: 0.389 states/eV/atom.


# Nd4MgPd

Nd4MgPd after structural relaxation (PBE, the Alexandria database).

a b c (Å): 8.038 8.038 6.343
angles (deg): 99.57 99.57 110.45
Positions (direct):
Nd 0.065 0.716 0.950
Nd 0.190 0.380 0.607
Nd 0.284 0.935 0.550
Nd 0.380 0.190 0.107
Nd 0.620 0.810 0.893
Nd 0.716 0.065 0.450
Nd 0.810 0.620 0.393
Nd 0.935 0.284 0.050
Mg 0.385 0.615 0.250
Mg 0.615 0.385 0.750
Pd 0.002 0.998 0.250
Pd 0.998 0.002 0.750

Values from the calculation:
As for the density of states at the Fermi level: 1.238 states/eV/atom.


# NdMg4Pd

NdMg4Pd after structural relaxation (PBE, the Alexandria database).

a b c (Å): 8.844 4.176 7.564
angles (deg): 90.00 90.00 90.00
Positions (direct):
Nd 0.250 0.000 0.101
Nd 0.750 0.000 0.899
Mg 0.000 0.000 0.500
Mg 0.060 0.500 0.805
Mg 0.250 0.500 0.452
Mg 0.440 0.500 0.805
Mg 0.500 0.000 0.500
Mg 0.560 0.500 0.195
Mg 0.750 0.500 0.548
Mg 0.940 0.500 0.195
Pd 0.250 0.000 0.702
Pd 0.750 0.000 0.298

Values from the calculation:
As for the density of states at the Fermi level: 0.769 states/eV/atom.


# NdMg5Pd6

NdMg5Pd6 after structural relaxation (PBE, the Alexandria database).

a b c (Å): 4.605 6.641 7.162
angles (deg): 90.00 105.54 90.00
Positions (direct):
Nd 0.000 0.000 0.000
Mg 0.000 0.500 0.000
Mg 0.330 0.000 0.653
Mg 0.335 0.500 0.671
Mg 0.665 0.500 0.329
Mg 0.670 0.000 0.347
Pd 0.172 0.262 0.344
Pd 0.172 0.738 0.344
Pd 0.500 0.270 0.000
Pd 0.500 0.730 0.000
Pd 0.828 0.262 0.656
Pd 0.828 0.738 0.656

Values from the calculation:
As for the density of states at the Fermi level: 0.296 states/eV/atom.


# Nd3MgPd4

Nd3MgPd4 after structural relaxation (PBE, the Alexandria database).

a b c (Å): 3.973 6.559 15.116
angles (deg): 90.00 90.00 90.00
Positions (direct):
Nd 0.000 0.000 0.000
Nd 0.000 0.500 0.196
Nd 0.000 0.500 0.804
Nd 0.500 0.000 0.304
Nd 0.500 0.000 0.696
Nd 0.500 0.500 0.500
Mg 0.000 0.000 0.500
Mg 0.500 0.500 0.000
Pd 0.000 0.291 0.376
Pd 0.000 0.291 0.624
Pd 0.000 0.709 0.376
Pd 0.000 0.709 0.624
Pd 0.500 0.209 0.124
Pd 0.500 0.209 0.876
Pd 0.500 0.791 0.124
Pd 0.500 0.791 0.876

Values from the calculation:
As for the density of states at the Fermi level: 0.503 states/eV/atom.


# Nd2MgPd

Nd2MgPd after structural relaxation (PBE, the Alexandria database).

a b c (Å): 7.497 7.497 7.497
angles (deg): 90.00 90.00 90.00
Positions (direct):
Nd 0.250 0.250 0.250
Nd 0.250 0.250 0.750
Nd 0.250 0.750 0.250
Nd 0.250 0.750 0.750
Nd 0.750 0.250 0.250
Nd 0.750 0.250 0.750
Nd 0.750 0.750 0.250
Nd 0.750 0.750 0.750
Mg 0.000 0.000 0.000
Mg 0.000 0.500 0.500
Mg 0.500 0.000 0.500
Mg 0.500 0.500 0.000
Pd 0.000 0.000 0.500
Pd 0.000 0.500 0.000
Pd 0.500 0.000 0.000
Pd 0.500 0.500 0.500

Values from the calculation:
As for the density of states at the Fermi level: 0.959 states/eV/atom.


# NdMg9Pd3

NdMg9Pd3 after structural relaxation (PBE, the Alexandria database).

a b c (Å): 7.590 7.590 7.198
angles (deg): 97.54 97.54 136.48
Positions (direct):
Nd 0.000 0.000 0.000
Mg 0.000 0.000 0.500
Mg 0.020 0.665 0.673
Mg 0.296 0.520 0.786
Mg 0.335 0.980 0.327
Mg 0.480 0.704 0.214
Mg 0.520 0.296 0.786
Mg 0.665 0.020 0.673
Mg 0.704 0.480 0.214
Mg 0.980 0.335 0.327
Pd 0.000 0.500 0.000
Pd 0.500 0.000 0.000
Pd 0.500 0.500 0.500

Values from the calculation:
As for the density of states at the Fermi level: 0.556 states/eV/atom.


# Nd2Mg3Pd4

Nd2Mg3Pd4 after structural relaxation (PBE, the Alexandria database).

a b c (Å): 8.811 8.811 7.592
angles (deg): 90.00 90.00 141.13
Positions (direct):
Nd 0.107 0.893 0.917
Nd 0.393 0.607 0.417
Nd 0.607 0.393 0.583
Nd 0.893 0.107 0.083
Mg 0.000 0.000 0.500
Mg 0.022 0.478 0.750
Mg 0.478 0.022 0.250
Mg 0.500 0.500 0.000
Mg 0.522 0.978 0.750
Mg 0.978 0.522 0.250
Pd 0.170 0.830 0.529
Pd 0.184 0.316 0.750
Pd 0.316 0.184 0.250
Pd 0.330 0.670 0.029
Pd 0.670 0.330 0.971
Pd 0.684 0.816 0.750
Pd 0.816 0.684 0.250
Pd 0.830 0.170 0.471

Values from the calculation:
As for the density of states at the Fermi level: 0.683 states/eV/atom.


# Nd2MgPd

Nd2MgPd after structural relaxation (PBE, the Alexandria database).

a b c (Å): 3.788 3.788 31.935
angles (deg): 90.00 90.00 120.00
Positions (direct):
Nd 0.000 0.000 0.108
Nd 0.000 0.000 0.892
Nd 0.333 0.667 0.559
Nd 0.333 0.667 0.774
Nd 0.667 0.333 0.226
Nd 0.667 0.333 0.441
Mg 0.000 0.000 0.000
Mg 0.333 0.667 0.667
Mg 0.667 0.333 0.333
Pd 0.000 0.000 0.500
Pd 0.333 0.667 0.167
Pd 0.667 0.333 0.833

Values from the calculation:
As for the density of states at the Fermi level: 1.061 states/eV/atom.


# NdMg2Pd

NdMg2Pd after structural relaxation (PBE, the Alexandria database).

a b c (Å): 4.535 4.535 16.013
angles (deg): 90.00 90.00 120.00
Positions (direct):
Nd 0.000 0.000 0.000
Nd 0.333 0.667 0.667
Nd 0.667 0.333 0.333
Mg 0.000 0.000 0.212
Mg 0.000 0.000 0.788
Mg 0.333 0.667 0.455
Mg 0.333 0.667 0.878
Mg 0.667 0.333 0.122
Mg 0.667 0.333 0.545
Pd 0.000 0.000 0.500
Pd 0.333 0.667 0.167
Pd 0.667 0.333 0.833

Values from the calculation:
As for the density of states at the Fermi level: 0.769 states/eV/atom.


Number 1: E_tot -34.63 eV per cell, M_tot 0.00 Bohr magnetons per cell, energy of formation from the pure elements 0.096 eV/atom. Number 2: E_tot -14.67 eV per cell, M_tot 0.00 Bohr magnetons per cell, energy of formation from the pure elements -0.379 eV/atom. Number 3: E_tot -85.45 eV per cell, M_tot 0.00 Bohr magnetons per cell, energy of formation from the pure elements -0.704 eV/atom. Number 4: E_tot -54.23 eV per cell, M_tot 0.00 Bohr magnetons per cell, energy of formation from the pure elements -0.209 eV/atom. Number 5: E_tot -36.90 eV per cell, M_tot 0.00 Bohr magnetons per cell, energy of formation from the pure elements -0.352 eV/atom. Number 6: E_tot -52.31 eV per cell, M_tot 0.00 Bohr magnetons per cell, energy of formation from the pure elements -0.701 eV/atom. Number 7: E_tot -83.72 eV per cell, M_tot 0.00 Bohr magnetons per cell, energy of formation from the pure elements -0.649 eV/atom. Number 8: E_tot -70.43 eV per cell, M_tot 0.00 Bohr magnetons per cell, energy of formation from the pure elements -0.321 eV/atom. Number 9: E_tot -39.85 eV per cell, M_tot 0.00 Bohr magnetons per cell, energy of formation from the pure elements -0.396 eV/atom. Number 10: E_tot -82.22 eV per cell, M_tot 0.00 Bohr magnetons per cell, energy of formation from the pure elements -0.669 eV/atom. Number 11: E_tot -49.31 eV per cell, M_tot 0.00 Bohr magnetons per cell, energy of formation from the pure elements -0.028 eV/atom. Number 12: E_tot -42.82 eV per cell, M_tot 0.00 Bohr magnetons per cell, energy of formation from the pure elements -0.281 eV/atom.